## FeTe2ICl (PBE-GGA)

Data for FeTe2ICl after structural relaxation.

a b c (Å): 5.4714 5.4714 5.5079
angles (deg): 90.00 90.00 90.00
Element x y z (fractional)
1 Fe 0.0000 0.0000 0.0000
2 Te 0.0000 0.5000 0.5000
3 Te 0.5000 0.0000 0.5000
4 I 0.5000 0.5000 0.0000
5 Cl 0.5000 0.5000 0.5000

Calculated values
- Total magnetization: 4.1 μB per formula unit
- Relative energy among the computed polymorphs: 793 meV/atom
- E_tot: -2.486 eV per atom
- Formation energy from raw total energies: 1.143 eV/atom
- D(E_F): 8.91 states/eV/f.u.


## SnTe (PBE-GGA)

Data for SnTe after structural relaxation.

a b c (Å): 8.8529 8.8529 8.8529
angles (deg): 109.47 109.47 109.47
Element x y z (fractional)
1 Sn 0.0000 0.0000 0.7262
2 Sn 0.0000 0.7262 0.0000
3 Sn 0.2738 0.2738 0.2738
4 Sn 0.7262 0.0000 0.0000
5 Te 0.0000 0.0000 0.3104
6 Te 0.0000 0.3104 0.0000
7 Te 0.3104 0.0000 0.0000
8 Te 0.6896 0.6896 0.6896

Calculated values
- Total magnetization: 0.0 μB per formula unit
- E_tot: -3.665 eV per atom
- Formation energy from raw total energies: -0.093 eV/atom
- D(E_F): 0.00 states/eV/f.u.


## Ag2IrSe (PBE-GGA)

Data for Ag2IrSe after structural relaxation.

a b c (Å): 6.2910 6.2910 6.2910
angles (deg): 152.02 137.47 51.68
Element x y z (fractional)
1 Ag 0.0000 0.0000 0.0000
2 Ag 0.6584 0.1584 0.5000
3 Ir 0.2160 0.7160 0.5000
4 Se 0.3793 0.3793 0.0000

Calculated values
- Total magnetization: 0.0 μB per formula unit
- E_tot: -4.235 eV per atom
- Formation energy from raw total energies: 0.277 eV/atom
- D(E_F): 4.75 states/eV/f.u.


## Sr2AgSb2 (PBE-GGA)

Data for Sr2AgSb2 after structural relaxation.

a b c (Å): 6.6104 6.6104 12.0147
angles (deg): 111.97 111.97 41.87
Element x y z (fractional)
1 Sr 0.0789 0.0789 0.4016
2 Sr 0.3116 0.3116 0.8480
3 Sr 0.6884 0.6884 0.1520
4 Sr 0.9211 0.9211 0.5984
5 Ag 0.4120 0.4120 0.1822
6 Ag 0.5880 0.5880 0.8178
7 Sb 0.0606 0.0606 0.9193
8 Sb 0.3346 0.3346 0.3671
9 Sb 0.6654 0.6654 0.6329
10 Sb 0.9394 0.9394 0.0807

Calculated values
- Total magnetization: 0.0 μB per formula unit
- Relative energy among the computed polymorphs: 0 meV/atom
- E_tot: -3.648 eV per atom
- Formation energy from raw total energies: -0.756 eV/atom
- D(E_F): 0.46 states/eV/f.u.


## Tb3ErPb3 (PBE-GGA)

Data for Tb3ErPb3 after structural relaxation.

a b c (Å): 9.5042 9.5042 6.1909
angles (deg): 90.00 90.00 120.00
Element x y z (fractional)
1 Tb 0.0226 0.3277 0.2500
2 Tb 0.3050 0.9774 0.2500
3 Tb 0.3277 0.3050 0.7500
4 Tb 0.6723 0.6950 0.2500
5 Tb 0.6950 0.0226 0.7500
6 Tb 0.9774 0.6723 0.7500
7 Er 0.3333 0.6667 0.7500
8 Er 0.6667 0.3333 0.2500
9 Pb 0.0018 0.3469 0.7500
10 Pb 0.3451 0.9982 0.7500
11 Pb 0.3469 0.3451 0.2500
12 Pb 0.6531 0.6549 0.7500
13 Pb 0.6549 0.0018 0.2500
14 Pb 0.9982 0.6531 0.2500

Calculated values
- Total magnetization: 0.0 μB per formula unit
- Formation energy from the elements: -5.1 kcal/mol of atoms
- E_tot: -4.448 eV per atom
- D(E_F): 1.90 states/eV/f.u.


## LaFe2Os (PBE-GGA)

Data for LaFe2Os after structural relaxation.

a b c (Å): 2.8555 3.9631 6.2787
angles (deg): 90.00 103.11 90.00
Element x y z (fractional)
1 La 0.0000 0.0000 0.0000
2 Fe 0.2109 0.5000 0.6750
3 Fe 0.7891 0.5000 0.3250
4 Os 0.5000 0.0000 0.5000

Calculated values
- Total magnetization: 4.4 μB per formula unit
- Relative energy among the computed polymorphs: 303 meV/atom
- Formation energy from the elements: 9.0 kcal/mol of atoms
- E_tot: -7.881 eV per atom
- D(E_F): 4.80 states/eV/f.u.


## HgIrRu2 (PBE-GGA)

Data for HgIrRu2 after structural relaxation.

a b c (Å): 4.9037 4.9037 4.9037
angles (deg): 132.84 132.84 68.90
Element x y z (fractional)
1 Hg 0.0000 0.0000 0.0000
2 Ir 0.2500 0.7500 0.5000
3 Ru 0.5000 0.5000 0.0000
4 Ru 0.7500 0.2500 0.5000

Calculated values
- Total magnetization: 0.0 μB per formula unit
- Formation energy from the elements: 11.6 kcal/mol of atoms
- E_tot: -6.426 eV per atom
- D(E_F): 6.01 states/eV/f.u.


## ZrSi2Br (PBE-GGA)

Data for ZrSi2Br after structural relaxation.

a b c (Å): 8.2625 8.2625 8.2625
angles (deg): 26.00 26.00 26.00
Element x y z (fractional)
1 Zr 0.0000 0.0000 0.0000
2 Si 0.4445 0.4445 0.4445
3 Si 0.7409 0.7409 0.7409
4 Br 0.2578 0.2578 0.2578

Calculated values
- Total magnetization: 0.4 μB per formula unit
- Relative energy among the computed polymorphs: 0 meV/atom
- E_tot: -5.645 eV per atom
- Formation energy from raw total energies: -0.378 eV/atom
- D(E_F): 2.92 states/eV/f.u.


## Bi4PdPt2 (PBE-GGA)

Data for Bi4PdPt2 after structural relaxation.

a b c (Å): 5.5596 4.1906 8.1013
angles (deg): 90.00 105.34 90.00
Element x y z (fractional)
1 Bi 0.0895 0.0000 0.2089
2 Bi 0.3520 0.5000 0.6860
3 Bi 0.6480 0.5000 0.3140
4 Bi 0.9105 0.0000 0.7911
5 Pd 0.5000 0.0000 0.5000
6 Pt 0.2576 0.5000 0.0228
7 Pt 0.7424 0.5000 0.9772

Calculated values
- Total magnetization: 0.0 μB per formula unit
- Relative energy among the computed polymorphs: 112 meV/atom
- Formation energy from the elements: -3.7 kcal/mol of atoms
- E_tot: -4.847 eV per atom
- D(E_F): 3.52 states/eV/f.u.


## Li6Cd5Ga (PBE-GGA)

Data for Li6Cd5Ga after structural relaxation.

a b c (Å): 8.1286 8.1286 4.7192
angles (deg): 106.75 106.75 121.59
Element x y z (fractional)
1 Li 0.0810 0.4059 0.7432
2 Li 0.2377 0.2377 0.2372
3 Li 0.4059 0.0810 0.7432
4 Li 0.5941 0.9190 0.2568
5 Li 0.7623 0.7623 0.7628
6 Li 0.9190 0.5941 0.2568
7 Cd 0.1694 0.8306 0.0000
8 Cd 0.3335 0.6665 0.5000
9 Cd 0.5000 0.5000 0.0000
10 Cd 0.6665 0.3335 0.5000
11 Cd 0.8306 0.1694 0.0000
12 Ga 0.0000 0.0000 0.5000

Calculated values
- Total magnetization: 0.0 μB per formula unit
- Formation energy from the elements: -5.7 kcal/mol of atoms
- E_tot: -1.840 eV per atom
- D(E_F): 3.89 states/eV/f.u.


## TlSn3Pb2 (PBE-GGA)

Data for TlSn3Pb2 after structural relaxation.

a b c (Å): 7.6973 7.6973 6.2870
angles (deg): 90.11 90.11 100.34
Element x y z (fractional)
1 Tl 0.0501 0.9499 0.7500
2 Tl 0.9499 0.0501 0.2500
3 Sn 0.3118 0.3130 0.0004
4 Sn 0.3130 0.3118 0.5004
5 Sn 0.3237 0.6763 0.7500
6 Sn 0.6763 0.3237 0.2500
7 Sn 0.6870 0.6882 0.4996
8 Sn 0.6882 0.6870 0.9996
9 Pb 0.0742 0.5898 0.2507
10 Pb 0.4102 0.9258 0.2493
11 Pb 0.5898 0.0742 0.7507
12 Pb 0.9258 0.4102 0.7493

Calculated values
- Total magnetization: 0.0 μB per formula unit
- Relative energy among the computed polymorphs: 0 meV/atom
- Formation energy from the elements: 1.2 kcal/mol of atoms
- E_tot: -3.581 eV per atom
- D(E_F): 2.40 states/eV/f.u.


## CaTaBr2 (PBE-GGA)

Data for CaTaBr2 after structural relaxation.

a b c (Å): 6.8097 6.8097 6.8097
angles (deg): 145.09 145.09 50.21
Element x y z (fractional)
1 Ca 0.0000 0.0000 0.0000
2 Ta 0.2500 0.7500 0.5000
3 Br 0.5000 0.5000 0.0000
4 Br 0.7500 0.2500 0.5000

Calculated values
- Total magnetization: 2.8 μB per formula unit
- Relative energy among the computed polymorphs: 588 meV/atom
- E_tot: -4.128 eV per atom
- Formation energy from raw total energies: 0.172 eV/atom
- D(E_F): 4.51 states/eV/f.u.


## Cs3Nd3NpSe8 (PBE-GGA)

Data for Cs3Nd3NpSe8 after structural relaxation.

a b c (Å): 9.9053 9.9053 9.9053
angles (deg): 51.91 51.91 51.91
Element x y z (fractional)
1 Cs 0.0000 0.5000 0.5000
2 Cs 0.5000 0.0000 0.5000
3 Cs 0.5000 0.5000 0.0000
4 Nd 0.0000 0.0000 0.5000
5 Nd 0.0000 0.5000 0.0000
6 Nd 0.5000 0.0000 0.0000
7 Np 0.5000 0.5000 0.5000
8 Se 0.2299 0.2299 0.2299
9 Se 0.2405 0.7211 0.7211
10 Se 0.2789 0.2789 0.7595
11 Se 0.2789 0.7595 0.2789
12 Se 0.7211 0.2405 0.7211
13 Se 0.7211 0.7211 0.2405
14 Se 0.7595 0.2789 0.2789
15 Se 0.7701 0.7701 0.7701

Calculated values
- Total magnetization: 3.0 μB per formula unit
- E_tot: -5.453 eV per atom
- Formation energy from raw total energies: -1.608 eV/atom
- D(E_F): 3.33 states/eV/f.u.


## MnTlAg2I (PBE-GGA)

Data for MnTlAg2I after structural relaxation.

a b c (Å): 5.5061 5.5061 5.0689
angles (deg): 90.00 90.00 90.00
Element x y z (fractional)
1 Mn 0.0000 0.0000 0.0000
2 Tl 0.5000 0.5000 0.0000
3 Ag 0.0000 0.5000 0.5000
4 Ag 0.5000 0.0000 0.5000
5 I 0.0000 0.0000 0.5000

Calculated values
- Total magnetization: 3.7 μB per formula unit
- E_tot: -2.870 eV per atom
- Formation energy from raw total energies: 0.888 eV/atom
- D(E_F): 4.63 states/eV/f.u.


## CaZnSe2 (PBE-GGA)

Data for CaZnSe2 after structural relaxation.

a b c (Å): 3.9100 3.6232 7.0246
angles (deg): 90.00 98.73 90.00
Element x y z (fractional)
1 Ca 0.0000 0.0000 0.0000
2 Zn 0.5000 0.0000 0.5000
3 Se 0.4534 0.5000 0.7522
4 Se 0.5466 0.5000 0.2478

Calculated values
- Total magnetization: 0.0 μB per formula unit
- E_tot: -3.543 eV per atom
- Formation energy from raw total energies: -0.982 eV/atom
- D(E_F): 0.52 states/eV/f.u.


## AsIO2F (PBE-GGA)

Data for AsIO2F after structural relaxation.

a b c (Å): 4.1833 4.1833 4.1533
angles (deg): 90.00 90.00 90.00
Element x y z (fractional)
1 As 0.0000 0.0000 0.0000
2 I 0.5000 0.5000 0.5000
3 O 0.0000 0.5000 0.0000
4 O 0.5000 0.0000 0.0000
5 F 0.0000 0.0000 0.5000

Calculated values
- Total magnetization: 0.8 μB per formula unit
- E_tot: -3.905 eV per atom
- Formation energy from raw total energies: -0.308 eV/atom
- D(E_F): 3.92 states/eV/f.u.


## Sm2AsPd (PBE-GGA)

Data for Sm2AsPd after structural relaxation.

a b c (Å): 9.1938 9.1938 9.1938
angles (deg): 24.51 24.51 24.51
Element x y z (fractional)
1 Sm 0.1008 0.1008 0.1008
2 Sm 0.8992 0.8992 0.8992
3 As 0.5000 0.5000 0.5000
4 Pd 0.0000 0.0000 0.0000

Calculated values
- Total magnetization: 0.0 μB per formula unit
- Formation energy from the elements: -10.6 kcal/mol of atoms
- E_tot: -5.279 eV per atom
- D(E_F): 3.14 states/eV/f.u.


## ThInAu4 (PBE-GGA)

Data for ThInAu4 after structural relaxation.

a b c (Å): 5.6732 5.6732 5.6732
angles (deg): 60.00 60.00 60.00
Element x y z (fractional)
1 Th 0.0000 0.0000 0.0000
2 In 0.2500 0.2500 0.2500
3 Au 0.1256 0.6248 0.6248
4 Au 0.6248 0.1256 0.6248
5 Au 0.6248 0.6248 0.1256
6 Au 0.6248 0.6248 0.6248

Calculated values
- Total magnetization: 0.0 μB per formula unit
- Relative energy among the computed polymorphs: 74 meV/atom
- Formation energy from the elements: -7.9 kcal/mol of atoms
- E_tot: -4.219 eV per atom
- D(E_F): 4.31 states/eV/f.u.


## KCaScF6 (PBE-GGA)

Data for KCaScF6 after structural relaxation.

a b c (Å): 7.5175 7.5175 7.5175
angles (deg): 120.27 119.07 90.58
Element x y z (fractional)
1 K 0.3927 0.1427 0.2500
2 K 0.6073 0.8573 0.7500
3 Ca 0.0000 0.0000 0.5000
4 Ca 0.0000 0.5000 0.0000
5 Sc 0.0000 0.5000 0.5000
6 Sc 0.5000 0.5000 0.0000
7 F 0.1100 0.8600 0.2500
8 F 0.1605 0.4407 0.3383
9 F 0.1605 0.8223 0.7198
10 F 0.1778 0.4278 0.7500
11 F 0.3975 0.1777 0.8383
12 F 0.3975 0.5593 0.2198
13 F 0.6025 0.4407 0.7802
14 F 0.6025 0.8223 0.1617
15 F 0.8222 0.5722 0.2500
16 F 0.8395 0.1777 0.2802
17 F 0.8395 0.5593 0.6617
18 F 0.8900 0.1400 0.7500

Calculated values
- Total magnetization: 0.0 μB per formula unit
- E_tot: -5.957 eV per atom
- Formation energy from raw total energies: -3.661 eV/atom
- D(E_F): 0.00 states/eV/f.u.


## Ho2TmBi2 (PBE-GGA)

Data for Ho2TmBi2 after structural relaxation.

a b c (Å): 6.1761 6.1761 12.1643
angles (deg): 90.00 90.00 138.37
Element x y z (fractional)
1 Ho 0.0307 0.9693 0.5000
2 Ho 0.3337 0.6663 0.6724
3 Ho 0.6663 0.3337 0.1724
4 Ho 0.9693 0.0307 0.0000
5 Tm 0.3346 0.6654 0.3519
6 Tm 0.6654 0.3346 0.8519
7 Bi 0.0106 0.9894 0.7504
8 Bi 0.2713 0.7287 0.0088
9 Bi 0.7287 0.2713 0.5088
10 Bi 0.9894 0.0106 0.2504

Calculated values
- Total magnetization: 0.0 μB per formula unit
- Formation energy from the elements: -12.4 kcal/mol of atoms
- E_tot: -4.816 eV per atom
- D(E_F): 3.85 states/eV/f.u.


## La2BeW (PBE-GGA)

Data for La2BeW after structural relaxation.

a b c (Å): 4.9341 4.9341 4.9341
angles (deg): 60.00 60.00 60.00
Element x y z (fractional)
1 La 0.0000 0.0000 0.0000
2 La 0.2500 0.2500 0.2500
3 Be 0.5000 0.5000 0.5000
4 W 0.7500 0.7500 0.7500

Calculated values
- Total magnetization: 0.0 μB per formula unit
- Formation energy from the elements: 17.3 kcal/mol of atoms
- E_tot: -5.884 eV per atom
- D(E_F): 6.37 states/eV/f.u.


## Zn3Ag (PBE-GGA)

Data for Zn3Ag after structural relaxation.

a b c (Å): 3.0408 3.7268 5.5667
angles (deg): 90.00 90.76 90.00
Element x y z (fractional)
1 Zn 0.0000 0.0000 0.0000
2 Zn 0.4987 0.5000 0.7582
3 Zn 0.5013 0.5000 0.2418
4 Ag 0.0000 0.0000 0.5000

Calculated values
- Total magnetization: 0.0 μB per formula unit
- Formation energy from the elements: -0.3 kcal/mol of atoms
- E_tot: -1.681 eV per atom
- D(E_F): 0.84 states/eV/f.u.


## In2CoOs (PBE-GGA)

Data for In2CoOs after structural relaxation.

a b c (Å): 2.9500 2.9500 8.7402
angles (deg): 90.00 90.00 116.52
Element x y z (fractional)
1 In 0.0000 0.0000 0.2387
2 In 0.0000 0.0000 0.7613
3 Co 0.5000 0.5000 0.0000
4 Os 0.5000 0.5000 0.5000

Calculated values
- Total magnetization: 1.1 μB per formula unit
- Formation energy from the elements: 12.9 kcal/mol of atoms
- E_tot: -5.392 eV per atom
- D(E_F): 3.71 states/eV/f.u.


## UCuCl5 (PBE-GGA)

Data for UCuCl5 after structural relaxation.

a b c (Å): 7.0982 7.1019 10.0058
angles (deg): 69.70 69.75 86.08
Element x y z (fractional)
1 U 0.0000 0.0000 0.0000
2 U 0.5000 0.5000 0.5000
3 Cu 0.1365 0.3637 0.2500
4 Cu 0.8635 0.6363 0.7500
5 Cl 0.1566 0.6691 0.5477
6 Cl 0.1654 0.0938 0.1661
7 Cl 0.1699 0.6570 0.0476
8 Cl 0.3292 0.1715 0.7504
9 Cl 0.4064 0.3336 0.3345
10 Cl 0.5936 0.6664 0.6655
11 Cl 0.6708 0.8285 0.2496
12 Cl 0.8301 0.3430 0.9524
13 Cl 0.8346 0.9062 0.8339
14 Cl 0.8434 0.3309 0.4523

Calculated values
- Total magnetization: 2.0 μB per formula unit
- E_tot: -4.864 eV per atom
- Formation energy from raw total energies: -1.347 eV/atom
- D(E_F): 3.25 states/eV/f.u.


## LiTl2HgI3 (PBE-GGA)

Data for LiTl2HgI3 after structural relaxation.

a b c (Å): 9.9837 9.9837 9.9837
angles (deg): 149.19 148.38 44.73
Element x y z (fractional)
1 Li 0.0000 0.0000 0.0000
2 Tl 0.3481 0.3481 0.0000
3 Tl 0.6519 0.6519 0.0000
4 Hg 0.0000 0.5000 0.5000
5 I 0.1666 0.1666 0.0000
6 I 0.5000 0.0000 0.5000
7 I 0.8334 0.8334 0.0000

Calculated values
- Total magnetization: 0.0 μB per formula unit
- E_tot: -2.284 eV per atom
- Formation energy from raw total energies: -0.627 eV/atom
- D(E_F): 0.00 states/eV/f.u.


| no. | ρ (g/cm3) |
| --- | --- |
| 1 | 4.77 |
| 2 | 3.06 |
| 3 | 10.29 |
| 4 | 5.45 |
| 5 | 8.68 |
| 6 | 10.58 |
| 7 | 15.87 |
| 8 | 3.95 |
| 9 | 12.16 |
| 10 | 5.22 |
| 11 | 8.84 |
| 12 | 6.14 |
| 13 | 5.07 |
| 14 | 6.50 |
| 15 | 4.45 |
| 16 | 5.78 |
| 17 | 6.81 |
| 18 | 14.59 |
| 19 | 2.62 |
| 20 | 9.88 |
| 21 | 9.20 |
| 22 | 8.01 |
| 23 | 11.68 |
| 24 | 3.59 |
| 25 | 6.22 |